1.
LiNpNiS3 | PBE | relaxed Values from VASP.

Calculated values
crystal system = monoclinic
SG = P2_1/m, No. 11
electronic total energy = -6.56 eV per atom

```
&SYSTEM
  ibrav = 0, nat = 12, ntyp = 4
/
ATOMIC_SPECIES
Ni 58.69 Ni.upf
S 32.06 S.upf
Li 6.94 Li.upf
Np 237.00 Np.upf
CELL_PARAMETERS angstrom
-1.499 -1.879 -2.956
-5.512 -2.409 4.326
-3.293 7.808 -3.293
ATOMIC_POSITIONS angstrom
Ni -7.542 -0.382 0.385
S -6.447 4.808 -1.014
Li -1.736 0.169 -0.455
S -6.764 -2.392 1.268
Np -4.675 -0.785 1.642
Ni -2.762 3.903 -2.307
Np -5.629 4.305 -3.565
Li -8.568 3.351 -1.467
S -3.540 5.913 -3.190
S -3.857 -1.287 -0.909
S -6.219 1.260 1.126
S -4.085 2.261 -3.048
```

=====

2.
Li2NpNiS4 | PBE | relaxed Values from VASP.

Calculated values
crystal system = monoclinic
SG = P2/m, No. 10
electronic total energy = -5.89 eV per atom

```
&SYSTEM
  ibrav = 0, nat = 8, ntyp = 4
/
ATOMIC_SPECIES
S 32.06 S.upf
Li 6.94 Li.upf
Np 237.00 Np.upf
Ni 58.69 Ni.upf
CELL_PARAMETERS angstrom
-2.216 -1.108 -2.846
3.109 -5.169 -0.408
-4.922 -0.873 4.172
ATOMIC_POSITIONS angstrom
S 1.141 -4.150 0.728
Li -0.906 -3.021 1.882
Np 0.447 -3.138 -1.627
S -2.481 -5.223 1.464
S -1.547 -1.927 -0.546
Ni 0.000 0.000 0.000
S -2.954 -1.892 3.036
Li -3.569 -0.991 0.663
```

=====

3.
LiNp2NiS5 | PBE | relaxed Values from VASP.

Calculated values
crystal system = orthorhombic
SG = Cmc2_1, No. 36
electronic total energy = -7.16 eV per atom

```
&SYSTEM
  ibrav = 0, nat = 18, ntyp = 4
/
ATOMIC_SPECIES
Li 6.94 Li.upf
Np 237.00 Np.upf
S 32.06 S.upf
Ni 58.69 Ni.upf
CELL_PARAMETERS angstrom
3.699 0.000 0.000
-1.849 7.816 0.000
0.000 0.000 11.271
ATOMIC_POSITIONS angstrom
Li 0.000 2.756 0.366
Np 1.849 5.839 2.232
Li 1.849 5.060 6.002
S 1.849 3.014 2.175
Ni 0.000 7.003 4.742
S 1.849 0.034 2.750
Np 0.000 1.851 3.891
Np 1.849 5.966 9.526
Np 0.000 1.977 7.867
Ni 1.849 0.814 10.378
S 1.849 2.549 5.877
S 0.000 5.267 0.242
S 0.000 0.160 0.126
S 1.849 2.925 9.671
S 0.000 4.803 7.811
S 0.000 4.892 4.035
S 0.000 7.782 8.386
S 1.849 7.657 5.761
```

=====

4.
Li3Np2NiS6 | PBE | relaxed Values from VASP.

Calculated values
crystal system = monoclinic
SG = C2/m, No. 12
electronic total energy = -6.32 eV per atom

```
&SYSTEM
  ibrav = 0, nat = 12, ntyp = 4
/
ATOMIC_SPECIES
Li 6.94 Li.upf
S 32.06 S.upf
Ni 58.69 Ni.upf
Np 237.00 Np.upf
CELL_PARAMETERS angstrom
-3.381 0.188 5.515
2.230 -5.647 -2.240
5.605 2.614 2.089
ATOMIC_POSITIONS angstrom
Li 0.342 0.537 5.287
S 2.451 -1.233 5.295
S 4.247 -3.101 2.813
Li 4.113 -3.383 0.077
S 2.004 -1.612 0.069
Ni 0.000 0.000 0.000
Np -1.513 -1.754 2.934
S 0.208 0.256 2.552
Li 2.227 -1.423 2.682
S 3.968 0.679 2.360
S 0.486 -3.525 3.004
Np 0.363 -3.705 0.341
```

=====

5.
Li2Np3NiS6 | PBE | relaxed Values from VASP.

Calculated values
crystal system = monoclinic
SG = C2/m, No. 12
electronic total energy = -7.26 eV per atom

```
&SYSTEM
  ibrav = 0, nat = 12, ntyp = 4
/
ATOMIC_SPECIES
Np 237.00 Np.upf
Li 6.94 Li.upf
S 32.06 S.upf
Ni 58.69 Ni.upf
CELL_PARAMETERS angstrom
-3.091 5.883 1.426
-0.472 -5.237 4.307
5.929 1.622 0.874
ATOMIC_POSITIONS angstrom
Np 0.305 4.863 2.338
Li -2.222 2.192 2.382
Np 2.061 -2.595 4.269
S 1.391 3.561 4.507
Ni 0.000 0.000 0.000
S 0.976 -1.293 2.099
S 3.640 1.401 2.098
S -1.274 0.868 4.508
S 0.109 2.389 1.146
Np 1.183 1.134 3.303
S 2.257 -0.120 5.461
Li -1.341 -1.546 3.351
```

=====

6.
LiNpNiSe3 | PBE | relaxed Values from VASP.

Calculated values
crystal system = monoclinic
SG = P2_1/m, No. 11
electronic total energy = -6.07 eV per atom

```
&SYSTEM
  ibrav = 0, nat = 12, ntyp = 4
/
ATOMIC_SPECIES
Li 6.94 Li.upf
Se 78.96 Se.upf
Np 237.00 Np.upf
Ni 58.69 Ni.upf
CELL_PARAMETERS angstrom
-2.755 1.605 -2.186
-4.817 -5.975 1.684
-1.911 5.317 6.312
ATOMIC_POSITIONS angstrom
Li -5.407 3.585 4.318
Se -4.143 2.574 1.983
Se -2.812 4.420 5.080
Se -6.671 -3.473 0.730
Li -4.077 -2.638 1.492
Np -1.947 0.642 1.215
Ni -7.296 -2.041 2.569
Se -4.350 -0.345 0.101
Ni -2.187 2.988 3.241
Se -5.133 1.293 5.709
Np -7.537 0.306 4.595
Se -5.341 -1.626 3.827
```

=====

So what do the calculations give for formation energy from raw total energies? Going down the list: -1.0571; -1.0082; -1.1337; -1.1356; -1.1563; -0.8840 eV/atom.